Entry 1:
A relaxed structure of Ba2TaTc, computed with PBE.

a b c (Å): 4.2876 4.2876 9.8784
angles (deg): 77.41 77.41 60.01
Positions (direct):
1 Ba 0.0332 0.0332 0.8978
2 Ba 0.2166 0.2166 0.3522
3 Ta 0.4584 0.4584 0.6251
4 Tc 0.7918 0.7918 0.6249

Values from the calculation:
For the density of states at the Fermi level, the calculation gives 2.12 states/eV/f.u. The calculation puts the electronic total energy at -6.11 eV per atom.

---

Entry 2:
A relaxed structure of Ba2TaTc, computed with PBE.

a b c (Å): 5.8753 5.8753 3.3486
angles (deg): 90.00 90.00 90.00
Last column: magnetic moment on the atom in μB.
Positions (direct):
1 Ba 0.0000 0.0000 0.0000  -0.02
2 Ba 0.5000 0.5000 0.0000  -0.02
3 Ta 0.5000 0.0000 0.5000  -0.09
4 Tc 0.0000 0.5000 0.5000  2.10

Values from the calculation:
For the density of states at the Fermi level, the calculation gives 5.04 states/eV/f.u. The calculation puts the electronic total energy at -4.94 eV per atom.